No. 1
The following is a PBEsol calculation of BeAs2Rh after structural relaxation, from Alexandria via LeMat-Bulk.

Cell lengths 4.146, 4.435, 4.146 Å; angles 62.13, 90.00, 117.87 degrees
Fractional coordinates of all 4 atoms:
Be1 0.500 0.000 0.500
As1 0.250 0.500 0.250
As2 0.750 0.500 0.750
Rh1 0.000 0.000 0.000

crystal system = tetragonal
total magnetization = 0.00 Bohr magnetons per cell
DFT total energy = -0.202 hartree per atom
formation energy from the elements = 0.086 eV/atom



No. 2
The following is a PBEsol calculation of ZrBi2O2 after structural relaxation, from Alexandria via LeMat-Bulk.

Cell lengths 4.086, 4.717, 4.717 Å; angles 90.00, 90.00, 90.00 degrees
Fractional coordinates of all 5 atoms:
O1 0.000 0.000 0.000
O2 0.500 0.000 0.000
Bi1 0.000 0.000 0.500
Bi2 0.000 0.500 0.000
Zr1 0.500 0.500 0.500

crystal system = tetragonal
total magnetization = 0.00 Bohr magnetons per cell
DFT total energy = -0.208 hartree per atom
E_form (uncorrected) = -0.037 eV per atom



No. 3
The following is a PBEsol calculation of ReClF2 after structural relaxation, from Alexandria via LeMat-Bulk.

Cell lengths 4.153, 4.153, 4.153 Å; angles 60.00, 60.00, 60.00 degrees
Fractional coordinates of all 4 atoms:
Re1 0.500 0.500 0.500
F1 0.250 0.250 0.250
F2 0.750 0.750 0.750
Cl1 0.000 0.000 0.000

crystal system = cubic
total magnetization = 4.00 Bohr magnetons per cell
DFT total energy = -0.169 hartree per atom
E_form (uncorrected) = 0.198 eV per atom



No. 4
The following is a PBEsol calculation of TmRu2 after structural relaxation, from Alexandria via LeMat-Bulk.

Cell lengths 5.164, 5.164, 8.719 Å; angles 90.00, 90.00, 120.00 degrees
Fractional coordinates of all 12 atoms:
Ru1 0.171 0.342 0.750
Ru2 0.171 0.829 0.750
Ru3 0.342 0.171 0.250
Ru4 0.829 0.658 0.250
Ru5 0.000 0.000 0.000
Ru6 0.658 0.829 0.750
Ru7 0.829 0.171 0.250
Ru8 0.000 0.000 0.500
Tm1 0.667 0.333 0.933
Tm2 0.333 0.667 0.067
Tm3 0.333 0.667 0.433
Tm4 0.667 0.333 0.567

crystal system = hexagonal
total magnetization = 0.00 Bohr magnetons per cell
DFT total energy = -0.322 hartree per atom
formation energy from the elements = -0.338 eV/atom



Q: What is the total magnetization in the second record?
A: 0.00 Bohr magnetons per cell



Q: DFT total energy of number 1 (BeAs2Rh)?
A: -0.202 hartree per atom



Copy entry 4 word for word.
The following is a PBEsol calculation of TmRu2 after structural relaxation, from Alexandria via LeMat-Bulk.

Cell lengths 5.164, 5.164, 8.719 Å; angles 90.00, 90.00, 120.00 degrees
Fractional coordinates of all 12 atoms:
Ru1 0.171 0.342 0.750
Ru2 0.171 0.829 0.750
Ru3 0.342 0.171 0.250
Ru4 0.829 0.658 0.250
Ru5 0.000 0.000 0.000
Ru6 0.658 0.829 0.750
Ru7 0.829 0.171 0.250
Ru8 0.000 0.000 0.500
Tm1 0.667 0.333 0.933
Tm2 0.333 0.667 0.067
Tm3 0.333 0.667 0.433
Tm4 0.667 0.333 0.567

crystal system = hexagonal
total magnetization = 0.00 Bohr magnetons per cell
DFT total energy = -0.322 hartree per atom
formation energy from the elements = -0.338 eV/atom